# 1
# V2ReGeN PBE-GGA optimized geometry
data_V2ReGeN
_chemical_formula_sum 'V2 Re1 Ge1 N1'
_cell_length_a 4.791
_cell_length_b 4.791
_cell_length_c 3.740
_cell_angle_alpha 90.00
_cell_angle_beta 90.00
_cell_angle_gamma 90.00
_space_group_name_H-M_alt 'P 4/m m m'
_space_group_IT_number 123
_space_group_name_Hall '-P 4 2'
loop_
_atom_site_label
_atom_site_type_symbol
_atom_site_fract_x
_atom_site_fract_y
_atom_site_fract_z
_atom_site_occupancy
V1 V 0.000 0.500 0.000 1
Re1 Re 0.000 0.000 0.000 1
Ge1 Ge 0.500 0.500 0.500 1
N1 N 0.000 0.000 0.500 1
# VASP energy, eV per atom: -7.737
# Raw formation energy, eV/f.u.: 4.9

***

# 2
# MoP PBE-GGA optimized geometry
data_MoP
_chemical_formula_sum 'Mo8 P8'
_cell_length_a 8.400
_cell_length_b 8.400
_cell_length_c 4.455
_cell_angle_alpha 90.00
_cell_angle_beta 90.00
_cell_angle_gamma 90.00
_space_group_name_H-M_alt 'I 4/m'
_space_group_IT_number 87
_space_group_name_Hall '-I 4'
loop_
_atom_site_label
_atom_site_type_symbol
_atom_site_fract_x
_atom_site_fract_y
_atom_site_fract_z
_atom_site_occupancy
Mo1 Mo 0.149 0.650 0.000 1
P1 P 0.099 0.742 0.500 1
# VASP energy, eV per atom: -8.235

***

# 3
# AcSm2Bi PBE-GGA optimized geometry
data_AcSm2Bi
_chemical_formula_sum 'Ac1 Sm2 Bi1'
_cell_length_a 4.138
_cell_length_b 4.138
_cell_length_c 7.912
_cell_angle_alpha 90.00
_cell_angle_beta 90.00
_cell_angle_gamma 90.00
_space_group_name_H-M_alt 'P 4/m m m'
_space_group_IT_number 123
_space_group_name_Hall '-P 4 2'
loop_
_atom_site_label
_atom_site_type_symbol
_atom_site_fract_x
_atom_site_fract_y
_atom_site_fract_z
_atom_site_occupancy
Ac1 Ac 0.000 0.000 0.000 1
Sm1 Sm 0.500 0.500 0.290 1
Bi1 Bi 0.000 0.000 0.500 1
# VASP energy, eV per atom: -4.735
# Excess energy over the best structure of this formula in the dataset, eV/atom: 0.000

***

# 4
# GdAl2Ir PBE-GGA optimized geometry
data_GdAl2Ir
_chemical_formula_sum 'Gd3 Al6 Ir3'
_cell_length_a 4.2371
_cell_length_b 4.2371
_cell_length_c 15.3231
_cell_angle_alpha 90.00
_cell_angle_beta 90.00
_cell_angle_gamma 120.00
_space_group_name_H-M_alt 'R -3 m'
_space_group_IT_number 166
_space_group_name_Hall '-R 3 2"'
loop_
_atom_site_label
_atom_site_type_symbol
_atom_site_fract_x
_atom_site_fract_y
_atom_site_fract_z
_atom_site_occupancy
Gd1 Gd 0.0000 0.0000 0.0000 1
Al1 Al 0.0000 0.0000 0.2081 1
Ir1 Ir 0.0000 0.0000 0.5000 1
# VASP energy, eV per atom: -8.323

***

# 5
# Sm3Cd2Au8 PBE-GGA optimized geometry
data_Sm3Cd2Au8
_chemical_formula_sum 'Sm9 Cd6 Au24'
_cell_length_a 5.5008
_cell_length_b 5.5008
_cell_length_c 35.9136
_cell_angle_alpha 90.00
_cell_angle_beta 90.00
_cell_angle_gamma 120.00
_space_group_name_H-M_alt 'R -3 m'
_space_group_IT_number 166
_space_group_name_Hall '-R 3 2"'
loop_
_atom_site_label
_atom_site_type_symbol
_atom_site_fract_x
_atom_site_fract_y
_atom_site_fract_z
_atom_site_occupancy
Sm1 Sm 0.0000 0.0000 0.0000 1
Sm2 Sm 0.0000 0.0000 0.2372 1
Cd1 Cd 0.0000 0.0000 0.3929 1
Au1 Au 0.0000 0.0000 0.3169 1
Au2 Au 0.0038 0.5019 0.7980 1
# VASP energy, eV per atom: -3.653

***

# 6
# Ac2ErNi PBE-GGA optimized geometry
data_Ac2ErNi
_chemical_formula_sum 'Ac6 Er3 Ni3'
_cell_length_a 3.9034
_cell_length_b 3.9034
_cell_length_c 32.3360
_cell_angle_alpha 90.00
_cell_angle_beta 90.00
_cell_angle_gamma 120.00
_space_group_name_H-M_alt 'R -3 m'
_space_group_IT_number 166
_space_group_name_Hall '-R 3 2"'
loop_
_atom_site_label
_atom_site_type_symbol
_atom_site_fract_x
_atom_site_fract_y
_atom_site_fract_z
_atom_site_occupancy
Ac1 Ac 0.0000 0.0000 0.1107 1
Er1 Er 0.0000 0.0000 0.0000 1
Ni1 Ni 0.0000 0.0000 0.5000 1
# VASP energy, eV per atom: -4.440
# Excess energy over the best structure of this formula in the dataset, eV/atom: 0.191

***

# 7
# TaW2Au PBE-GGA optimized geometry
data_TaW2Au
_chemical_formula_sum 'Ta2 W4 Au2'
_cell_length_a 5.680
_cell_length_b 8.602
_cell_length_c 2.775
_cell_angle_alpha 90.00
_cell_angle_beta 90.00
_cell_angle_gamma 90.00
_space_group_name_H-M_alt 'C m m m'
_space_group_IT_number 65
_space_group_name_Hall '-C 2 2'
loop_
_atom_site_label
_atom_site_type_symbol
_atom_site_fract_x
_atom_site_fract_y
_atom_site_fract_z
_atom_site_occupancy
Ta1 Ta 0.000 0.000 0.000 1
W1 W 0.250 0.250 0.500 1
Au1 Au 0.000 0.500 0.000 1
# VASP energy, eV per atom: -9.949
# Excess energy over the best structure of this formula in the dataset, eV/atom: 0.212

***

# 8
# CsTlIn3 PBE-GGA optimized geometry
data_CsTlIn3
_chemical_formula_sum 'Cs1 Tl1 In3'
_cell_length_a 6.489
_cell_length_b 6.489
_cell_length_c 6.489
_cell_angle_alpha 90.00
_cell_angle_beta 90.00
_cell_angle_gamma 90.00
_space_group_name_H-M_alt 'P m -3 m'
_space_group_IT_number 221
_space_group_name_Hall '-P 4 2 3'
loop_
_atom_site_label
_atom_site_type_symbol
_atom_site_fract_x
_atom_site_fract_y
_atom_site_fract_z
_atom_site_occupancy
Cs1 Cs 0.000 0.000 0.000 1
Tl1 Tl 0.500 0.500 0.500 1
In1 In 0.000 0.000 0.500 1
# VASP energy, eV per atom: -1.348
# Excess energy over the best structure of this formula in the dataset, eV/atom: 1.036

***

# 9
# PbCOF2 PBE-GGA optimized geometry
data_PbCOF2
_chemical_formula_sum 'Pb1 C1 O1 F2'
_cell_length_a 4.472
_cell_length_b 4.472
_cell_length_c 4.288
_cell_angle_alpha 90.00
_cell_angle_beta 90.00
_cell_angle_gamma 90.00
_space_group_name_H-M_alt 'P 4/m m m'
_space_group_IT_number 123
_space_group_name_Hall '-P 4 2'
loop_
_atom_site_label
_atom_site_type_symbol
_atom_site_fract_x
_atom_site_fract_y
_atom_site_fract_z
_atom_site_occupancy
Pb1 Pb 0.000 0.000 0.000 1
C1 C 0.500 0.500 0.500 1
O1 O 0.000 0.000 0.500 1
F1 F 0.000 0.500 0.000 1
# VASP energy, eV per atom: -3.992
# Raw formation energy, eV/f.u.: 1.7

***

# 10
# SrTm2Ag PBE-GGA optimized geometry
data_SrTm2Ag
_chemical_formula_sum 'Sr1 Tm2 Ag1'
_cell_length_a 3.639
_cell_length_b 3.639
_cell_length_c 9.558
_cell_angle_alpha 90.00
_cell_angle_beta 90.00
_cell_angle_gamma 90.00
_space_group_name_H-M_alt 'P 4/m m m'
_space_group_IT_number 123
_space_group_name_Hall '-P 4 2'
loop_
_atom_site_label
_atom_site_type_symbol
_atom_site_fract_x
_atom_site_fract_y
_atom_site_fract_z
_atom_site_occupancy
Sr1 Sr 0.000 0.000 0.000 1
Tm1 Tm 0.500 0.500 0.320 1
Ag1 Ag 0.000 0.000 0.500 1
# VASP energy, eV per atom: -3.387
# Excess energy over the best structure of this formula in the dataset, eV/atom: 0.000

***

# 11
# Re2AsPt PBE-GGA optimized geometry
data_Re2AsPt
_chemical_formula_sum 'Re2 As1 Pt1'
_cell_length_a 2.897
_cell_length_b 4.075
_cell_length_c 5.399
_cell_angle_alpha 90.00
_cell_angle_beta 105.44
_cell_angle_gamma 90.00
_space_group_name_H-M_alt 'P 1 m 1'
_space_group_IT_number 6
loop_
_space_group_symop_operation_xyz
'x,y,z'
'x,-y,z'
loop_
_atom_site_label
_atom_site_type_symbol
_atom_site_fract_x
_atom_site_fract_y
_atom_site_fract_z
_atom_site_occupancy
Re1 Re 0.000 0.000 0.000 1
Re2 Re 0.386 0.500 0.773 1
As1 As 0.146 0.500 0.293 1
Pt1 Pt 0.742 0.000 0.486 1
# VASP energy, eV per atom: -8.715

***

# 12
# Li4TmGa4 PBE-GGA optimized geometry
data_Li4TmGa4
_chemical_formula_sum 'Li8 Tm2 Ga8'
_cell_length_a 5.836
_cell_length_b 5.836
_cell_length_c 9.174
_cell_angle_alpha 90.00
_cell_angle_beta 90.00
_cell_angle_gamma 90.00
_space_group_name_H-M_alt 'P 42/n m c'
_space_group_IT_number 137
loop_
_space_group_symop_operation_xyz
'x,y,z'
'-x,-y,-z'
'-y+1/2,x,z+1/2'
'y+1/2,-x,-z+1/2'
'-x+1/2,-y+1/2,z'
'x+1/2,y+1/2,-z'
'y,-x+1/2,z+1/2'
'-y,x+1/2,-z+1/2'
'x+1/2,-y,-z'
'-x+1/2,y,z'
'-y,-x,-z+1/2'
'y,x,z+1/2'
'-x,y+1/2,-z'
'x,-y+1/2,z'
'y+1/2,x+1/2,-z+1/2'
'-y+1/2,-x+1/2,z+1/2'
loop_
_atom_site_label
_atom_site_type_symbol
_atom_site_fract_x
_atom_site_fract_y
_atom_site_fract_z
_atom_site_occupancy
Li1 Li 0.027 0.250 0.174 1
Tm1 Tm 0.250 0.750 0.250 1
Ga1 Ga 0.025 0.250 0.466 1
# VASP energy, eV per atom: -2.939

***

# 13
# SiAg2Ru PBE-GGA optimized geometry
data_SiAg2Ru
_chemical_formula_sum 'Si2 Ag4 Ru2'
_cell_length_a 2.923
_cell_length_b 3.853
_cell_length_c 11.945
_cell_angle_alpha 90.00
_cell_angle_beta 90.00
_cell_angle_gamma 90.00
_space_group_name_H-M_alt 'I m m m'
_space_group_IT_number 71
_space_group_name_Hall '-I 2 2'
loop_
_atom_site_label
_atom_site_type_symbol
_atom_site_fract_x
_atom_site_fract_y
_atom_site_fract_z
_atom_site_occupancy
Si1 Si 0.000 0.000 0.000 1
Ag1 Ag 0.000 0.500 0.312 1
Ru1 Ru 0.000 0.000 0.500 1
# VASP energy, eV per atom: -4.995
# Raw formation energy, eV/f.u.: 0.4

***

# 14
# BTe2P PBE-GGA optimized geometry
data_BTe2P
_chemical_formula_sum 'B3 Te6 P3'
_cell_length_a 4.4549
_cell_length_b 4.4549
_cell_length_c 21.0546
_cell_angle_alpha 90.00
_cell_angle_beta 90.00
_cell_angle_gamma 120.00
_space_group_name_H-M_alt 'R -3 m'
_space_group_IT_number 166
_space_group_name_Hall '-R 3 2"'
loop_
_atom_site_label
_atom_site_type_symbol
_atom_site_fract_x
_atom_site_fract_y
_atom_site_fract_z
_atom_site_occupancy
B1 B 0.0000 0.0000 0.0000 1
Te1 Te 0.0000 0.0000 0.0971 1
P1 P 0.0000 0.0000 0.5000 1
# VASP energy, eV per atom: -3.622
# Raw formation energy, eV/f.u.: 3.9
# Excess energy over the best structure of this formula in the dataset, eV/atom: 0.284

***

# 15
# CeSmPd2 PBE-GGA optimized geometry
data_CeSmPd2
_chemical_formula_sum 'Ce2 Sm2 Pd4'
_cell_length_a 4.603
_cell_length_b 3.809
_cell_length_c 10.862
_cell_angle_alpha 90.00
_cell_angle_beta 90.00
_cell_angle_gamma 90.00
_space_group_name_H-M_alt 'A m m 2'
_space_group_IT_number 38
loop_
_space_group_symop_operation_xyz
'x,y,z'
'-x,-y,z'
'-x,y,z'
'x,-y,z'
'x,y+1/2,z+1/2'
'-x,-y+1/2,z+1/2'
'-x,y+1/2,z+1/2'
'x,-y+1/2,z+1/2'
loop_
_atom_site_label
_atom_site_type_symbol
_atom_site_fract_x
_atom_site_fract_y
_atom_site_fract_z
_atom_site_occupancy
Ce1 Ce 0.000 0.000 0.000 1
Sm1 Sm 0.500 0.000 0.273 1
Pd1 Pd 0.000 0.000 0.723 1
Pd2 Pd 0.500 0.000 0.546 1
# VASP energy, eV per atom: -6.017
# Excess energy over the best structure of this formula in the dataset, eV/atom: 0.000

***

# 16
# Cs2NaIrF6 PBE-GGA optimized geometry
data_Cs2NaIrF6
_chemical_formula_sum 'Cs8 Na4 Ir4 F24'
_cell_length_a 8.903
_cell_length_b 8.903
_cell_length_c 8.903
_cell_angle_alpha 90.00
_cell_angle_beta 90.00
_cell_angle_gamma 90.00
_space_group_name_H-M_alt 'F m -3 m'
_space_group_IT_number 225
_space_group_name_Hall '-F 4 2 3'
loop_
_atom_site_label
_atom_site_type_symbol
_atom_site_fract_x
_atom_site_fract_y
_atom_site_fract_z
_atom_site_occupancy
Cs1 Cs 0.250 0.250 0.250 1
Na1 Na 0.000 0.000 0.000 1
Ir1 Ir 0.000 0.000 0.500 1
F1 F 0.000 0.000 0.269 1
# VASP energy, eV per atom: -4.600
# Raw formation energy, eV/f.u.: -22.9

***

# 17
# TbCe2Fe PBE-GGA optimized geometry
data_TbCe2Fe
_chemical_formula_sum 'Tb3 Ce6 Fe3'
_cell_length_a 3.7423
_cell_length_b 3.7423
_cell_length_c 25.9449
_cell_angle_alpha 90.00
_cell_angle_beta 90.00
_cell_angle_gamma 120.00
_space_group_name_H-M_alt 'R 3 m'
_space_group_IT_number 160
_space_group_name_Hall 'R 3 -2"'
loop_
_atom_site_label
_atom_site_type_symbol
_atom_site_fract_x
_atom_site_fract_y
_atom_site_fract_z
_atom_site_occupancy
Tb1 Tb 0.0000 0.0000 0.0000 1
Ce1 Ce 0.0000 0.0000 0.5576 1
Ce2 Ce 0.0000 0.0000 0.7752 1
Fe1 Fe 0.0000 0.0000 0.1633 1
# VASP energy, eV per atom: -6.136
# Excess energy over the best structure of this formula in the dataset, eV/atom: 0.174

***

# 18
# PuBO3 PBE-GGA optimized geometry
data_PuBO3
_chemical_formula_sum 'Pu1 B1 O3'
_cell_length_a 3.565
_cell_length_b 3.565
_cell_length_c 3.565
_cell_angle_alpha 90.00
_cell_angle_beta 90.00
_cell_angle_gamma 90.00
_space_group_name_H-M_alt 'P m -3 m'
_space_group_IT_number 221
_space_group_name_Hall '-P 4 2 3'
loop_
_atom_site_label
_atom_site_type_symbol
_atom_site_fract_x
_atom_site_fract_y
_atom_site_fract_z
_atom_site_occupancy
Pu1 Pu 0.000 0.000 0.000 1
B1 B 0.500 0.500 0.500 1
O1 O 0.000 0.500 0.500 1
# VASP energy, eV per atom: -9.086
# Raw formation energy, eV/f.u.: -9.5

***

# 19
# La3CeHo2P6 PBE-GGA optimized geometry
data_La3CeHo2P6
_chemical_formula_sum 'La6 Ce2 Ho4 P12'
_cell_length_a 7.170
_cell_length_b 12.416
_cell_length_c 7.194
_cell_angle_alpha 90.00
_cell_angle_beta 109.40
_cell_angle_gamma 90.00
_space_group_name_H-M_alt 'C 1 2/m 1'
_space_group_IT_number 12
loop_
_space_group_symop_operation_xyz
'x,y,z'
'-x,-y,-z'
'-x,y,-z'
'x,-y,z'
'x+1/2,y+1/2,z'
'-x+1/2,-y+1/2,-z'
'-x+1/2,y+1/2,-z'
'x+1/2,-y+1/2,z'
loop_
_atom_site_label
_atom_site_type_symbol
_atom_site_fract_x
_atom_site_fract_y
_atom_site_fract_z
_atom_site_occupancy
La1 La 0.000 0.000 0.000 1
La2 La 0.000 0.333 0.000 1
Ce1 Ce 0.000 0.500 0.500 1
Ho1 Ho 0.000 0.167 0.500 1
P1 P 0.245 0.000 0.734 1
P2 P 0.245 0.333 0.735 1
# VASP energy, eV per atom: -6.763

***

# 20
# CeSm2Hg PBE-GGA optimized geometry
data_CeSm2Hg
_chemical_formula_sum 'Ce3 Sm6 Hg3'
_cell_length_a 3.4247
_cell_length_b 3.4247
_cell_length_c 35.4784
_cell_angle_alpha 90.00
_cell_angle_beta 90.00
_cell_angle_gamma 120.00
_space_group_name_H-M_alt 'R -3 m'
_space_group_IT_number 166
_space_group_name_Hall '-R 3 2"'
loop_
_atom_site_label
_atom_site_type_symbol
_atom_site_fract_x
_atom_site_fract_y
_atom_site_fract_z
_atom_site_occupancy
Ce1 Ce 0.0000 0.0000 0.0000 1
Sm1 Sm 0.0000 0.0000 0.0937 1
Hg1 Hg 0.0000 0.0000 0.5000 1
# VASP energy, eV per atom: -3.836
# Excess energy over the best structure of this formula in the dataset, eV/atom: 0.278